Record 1
Material: Sr2Li16Dy
Method: DFT, PBE-GGA
State: relaxed

Unit cell a=10.3442 b=10.3442 c=15.1133 alpha=90.00 beta=90.00 gamma=120.00
Space group R3m (No. 160, hexagonal axes)
Asymmetric unit:
1 Sr 0.0000 0.0000 0.0000
2 Sr 0.0000 0.0000 0.3065
3 Li 0.0000 0.0000 0.7607
4 Li 0.0014 0.5007 0.8088
5 Li 0.0075 0.5037 0.5027
6 Li 0.0398 0.3723 0.3242
7 Li 0.1721 0.3443 0.4878
8 Dy 0.0000 0.0000 0.5586

Calculated values
Calculated total energy = -113.08 eV for the cell shown
Total magnetic moment = 0.00 μB per formula unit
DOS at the Fermi energy = 38.69 states/eV/cell

Record 2
Material: SrLi4Dy
Method: DFT, PBE-GGA
State: relaxed

Unit cell a=8.6879 b=8.6879 c=8.6879 alpha=90.00 beta=90.00 gamma=90.00
Space group F-43m (No. 216)
Asymmetric unit:
1 Sr 0.0000 0.0000 0.0000
2 Li 0.1236 0.1236 0.3764
3 Dy 0.2500 0.2500 0.7500

Calculated values
Calculated total energy = -52.80 eV for the cell shown
Total magnetic moment = 0.00 μB per formula unit
DOS at the Fermi energy = 27.05 states/eV/cell

Record 3
Material: SrLiDy
Method: DFT, PBE-GGA
State: relaxed

Unit cell a=3.8414 b=3.8414 c=13.8162 alpha=90.00 beta=90.00 gamma=90.00
Space group I4mm (No. 107)
Asymmetric unit:
1 Sr 0.0000 0.0000 0.0000
2 Li 0.0000 0.0000 0.6648
3 Dy 0.0000 0.0000 0.2940

Calculated values
Calculated total energy = -15.25 eV for the cell shown
Total magnetic moment = 0.25 μB per formula unit
DOS at the Fermi energy = 9.13 states/eV/cell